# PBE Sm3Er2Ag2, relaxed
data_Sm3Er2Ag2
_chemical_formula_sum 'Sm6 Er4 Ag4'
_cell_length_a 13.014
_cell_length_b 3.730
_cell_length_c 9.220
_cell_angle_alpha 90.00
_cell_angle_beta 115.28
_cell_angle_gamma 90.00
_space_group_name_H-M_alt 'C 1 2/m 1'
_space_group_IT_number 12
loop_
_space_group_symop_operation_xyz
'x,y,z'
'-x,-y,-z'
'-x,y,-z'
'x,-y,z'
'x+1/2,y+1/2,z'
'-x+1/2,-y+1/2,-z'
'-x+1/2,y+1/2,-z'
'x+1/2,-y+1/2,z'
loop_
_atom_site_label
_atom_site_fract_x
_atom_site_fract_y
_atom_site_fract_z
Sm1 0.000 0.000 0.000
Sm2 0.110 0.000 0.445
Er1 0.147 0.500 0.813
Ag1 0.178 0.500 0.222
# Crystal system: monoclinic
# Energy of formation from the pure elements (eV/atom): -0.12
# Excess energy over the best structure of this formula in the dataset (meV per atom): 0

---

# PBE LaFeTe2, relaxed
data_LaFeTe2
_chemical_formula_sum 'La4 Fe4 Te8'
_cell_length_a 7.484
_cell_length_b 7.484
_cell_length_c 7.484
_cell_angle_alpha 90.00
_cell_angle_beta 90.00
_cell_angle_gamma 90.00
_space_group_name_H-M_alt 'F m -3 m'
_space_group_IT_number 225
_space_group_name_Hall '-F 4 2 3'
loop_
_atom_site_label
_atom_site_fract_x
_atom_site_fract_y
_atom_site_fract_z
La1 0.000 0.000 0.000
Fe1 0.000 0.000 0.500
Te1 0.250 0.250 0.250
# Crystal system: cubic
# ΔE_f (raw) (eV per formula unit): -2.0

---

# PBE PrEr6Th4, relaxed
data_PrEr6Th4
_chemical_formula_sum 'Pr2 Er12 Th8'
_cell_length_a 3.421
_cell_length_b 5.850
_cell_length_c 35.698
_cell_angle_alpha 90.00
_cell_angle_beta 90.00
_cell_angle_gamma 90.00
_space_group_name_H-M_alt 'I m m m'
_space_group_IT_number 71
_space_group_name_Hall '-I 2 2'
loop_
_atom_site_label
_atom_site_fract_x
_atom_site_fract_y
_atom_site_fract_z
Pr1 0.000 0.000 0.000
Er1 0.000 0.500 0.132
Er2 0.000 0.500 0.233
Er3 0.000 0.500 0.403
Th1 0.000 0.000 0.183
Th2 0.000 0.000 0.455
# Crystal system: orthorhombic
# Energy of formation from the pure elements (eV/atom): 0.17